# Nd3Dy3Er2 (PBE, relaxed)
# - Spin magnetization: 0.0 μB per formula unit
# - Crystal system: orthorhombic
# - Energy above the lowest structure with this stoichiometry: 0 meV per atom
data_Nd3Dy3Er2
_chemical_formula_sum 'Nd6 Dy6 Er4'
_cell_length_a 5.066
_cell_length_b 5.074
_cell_length_c 20.277
_cell_angle_alpha 90.00
_cell_angle_beta 90.00
_cell_angle_gamma 90.00
_symmetry_space_group_name_H-M 'I m m m'
_symmetry_Int_Tables_number 71
_symmetry_space_group_name_Hall '-I 2 2'
loop_
_atom_site_label
_atom_site_fract_x
_atom_site_fract_y
_atom_site_fract_z
_atom_site_occupancy
Nd1 0.000 0.000 0.000 1
Nd2 0.000 0.500 0.126 1
Dy1 0.000 0.000 0.500 1
Dy2 0.000 0.500 0.373 1
Er1 0.000 0.000 0.249 1